[1]
SrSnHg at its PBEsol-relaxed geometry, computed with SCAN.

Geometry as extended XYZ:
```
6
Lattice="4.913 0.000 0.000 -2.457 4.255 0.000 0.000 0.000 7.967" Properties=species:S:1:pos:R:3 pbc="T T T"
Sr 0.000 0.000 0.000
Sr 0.000 0.000 3.984
Sn 0.000 2.837 2.281
Sn 2.457 1.418 6.265
Hg 0.000 2.837 5.566
Hg 2.457 1.418 1.582
```

Summary:
Formation enthalpy at 0 K, eV/f.u.: -2.18
Size of the total moment, μB per cell: 0.00


[2]
SrSn3Hg at its PBEsol-relaxed geometry, computed with SCAN.

Geometry as extended XYZ:
```
5
Lattice="5.955 0.000 0.000 0.000 5.955 0.000 0.000 0.000 5.955" Properties=species:S:1:pos:R:3 pbc="T T T"
Sr 0.000 0.000 0.000
Sn 0.000 0.000 2.978
Sn 0.000 2.978 0.000
Sn 2.978 0.000 0.000
Hg 2.978 2.978 2.978
```

Summary:
Formation enthalpy at 0 K, eV/f.u.: 4.49
Size of the total moment, μB per cell: 0.00


Which of these has the lowest formation enthalpy at 0 K?
SrSnHg